# 1
A relaxed VIrN2O crystal, computed with GGA+U. Values from VASP.

The structure in Quantum ESPRESSO input format:
```
&SYSTEM
  ibrav = 0, nat = 5, ntyp = 4
/
ATOMIC_SPECIES
N 14.01 N.upf
O 16.00 O.upf
V 50.94 V.upf
Ir 192.22 Ir.upf
CELL_PARAMETERS angstrom
3.765 0.000 0.000
0.000 3.765 0.000
0.000 0.000 4.317
ATOMIC_POSITIONS crystal
N 0.500 0.000 0.000
N 0.000 0.500 0.000
O 0.000 0.000 0.500
V 0.500 0.500 0.500
Ir 0.000 0.000 0.000
```

Properties
The spin magnetization comes out at 3.05 μB per cell. For the electronic total energy, the calculation gives -0.253 Ha/atom.

=====

# 2
A relaxed VIrNO2 crystal, computed with GGA+U. Values from VASP.

The structure in Quantum ESPRESSO input format:
```
&SYSTEM
  ibrav = 0, nat = 5, ntyp = 4
/
ATOMIC_SPECIES
Ir 192.22 Ir.upf
N 14.01 N.upf
O 16.00 O.upf
V 50.94 V.upf
CELL_PARAMETERS angstrom
3.663 0.000 0.000
0.000 3.663 0.000
0.000 0.000 4.082
ATOMIC_POSITIONS crystal
Ir 0.500 0.500 0.500
N 0.000 0.000 0.500
O 0.000 0.500 0.000
O 0.500 0.000 0.000
V 0.000 0.000 0.000
```

Properties
The spin magnetization comes out at 1.68 μB per cell. For the electronic total energy, the calculation gives -0.243 Ha/atom.

=====

# 3
A relaxed IrWNO2 crystal, computed with GGA+U. Values from VASP.

The structure in Quantum ESPRESSO input format:
```
&SYSTEM
  ibrav = 0, nat = 5, ntyp = 4
/
ATOMIC_SPECIES
O 16.00 O.upf
N 14.01 N.upf
Ir 192.22 Ir.upf
W 183.84 W.upf
CELL_PARAMETERS angstrom
-2.502 2.658 -2.049
1.599 -1.302 -3.642
-2.591 -2.600 -0.209
ATOMIC_POSITIONS crystal
O 0.500 0.000 0.000
N 0.000 0.000 0.500
Ir 0.000 0.000 0.000
W 0.500 0.500 0.500
O 0.000 0.500 0.000
```

Properties
The spin magnetization comes out at 3.41 μB per cell. For the electronic total energy, the calculation gives -0.233 Ha/atom.

=====

# 4
A relaxed IrWNO2 crystal, computed with GGA+U. Values from VASP.

The structure in Quantum ESPRESSO input format:
```
&SYSTEM
  ibrav = 0, nat = 5, ntyp = 4
/
ATOMIC_SPECIES
W 183.84 W.upf
Ir 192.22 Ir.upf
O 16.00 O.upf
N 14.01 N.upf
CELL_PARAMETERS angstrom
3.892 0.000 0.000
0.000 3.892 0.000
0.000 0.000 4.094
ATOMIC_POSITIONS crystal
W 0.000 0.000 0.000
Ir 0.500 0.500 0.500
O 0.500 0.000 0.000
N 0.000 0.000 0.500
O 0.000 0.500 0.000
```

Properties
The spin magnetization comes out at 2.40 μB per cell. For the electronic total energy, the calculation gives -0.244 Ha/atom.

=====

# 5
A relaxed IrWN2O crystal, computed with GGA+U. Values from VASP.

The structure in Quantum ESPRESSO input format:
```
&SYSTEM
  ibrav = 0, nat = 5, ntyp = 4
/
ATOMIC_SPECIES
W 183.84 W.upf
Ir 192.22 Ir.upf
N 14.01 N.upf
O 16.00 O.upf
CELL_PARAMETERS angstrom
3.724 0.000 0.000
0.000 3.724 0.000
0.000 0.000 4.856
ATOMIC_POSITIONS crystal
W 0.500 0.500 0.500
Ir 0.000 0.000 0.000
N 0.500 0.000 0.000
N 0.000 0.500 0.000
O 0.000 0.000 0.500
```

Properties
The spin magnetization comes out at 3.53 μB per cell. For the electronic total energy, the calculation gives -0.241 Ha/atom.

=====

# 6
A relaxed IrWN2O crystal, computed with GGA+U. Values from VASP.

The structure in Quantum ESPRESSO input format:
```
&SYSTEM
  ibrav = 0, nat = 5, ntyp = 4
/
ATOMIC_SPECIES
O 16.00 O.upf
Ir 192.22 Ir.upf
N 14.01 N.upf
W 183.84 W.upf
CELL_PARAMETERS angstrom
4.027 0.000 0.000
0.000 4.027 0.000
0.000 0.000 3.809
ATOMIC_POSITIONS crystal
O 0.000 0.000 0.500
Ir 0.500 0.500 0.500
N 0.500 0.000 0.000
W 0.000 0.000 0.000
N 0.000 0.500 0.000
```

Properties
The spin magnetization comes out at 1.62 μB per cell. For the electronic total energy, the calculation gives -0.248 Ha/atom.